Computed, not measured: a geometry-optimized Pu4MgSb3 structure at the PBE level of DFT.

Results
Formation energy (no corrections) = -0.501 eV/atom
Magnetization = 49.9 Bohr magnetons per cell
Crystal system = tetragonal

```
data_Pu4MgSb3
_symmetry_space_group_name_H-M 'P 1'
_symmetry_Int_Tables_number 1
_cell_length_a 5.960
_cell_length_b 8.965
_cell_length_c 8.965
_cell_angle_alpha 83.66
_cell_angle_beta 70.59
_cell_angle_gamma 70.59
loop_
_symmetry_equiv_pos_as_xyz
'x,y,z'
loop_
_atom_site_label
_atom_site_type_symbol
_atom_site_fract_x
_atom_site_fract_y
_atom_site_fract_z
Sb1 Sb 0.846 0.500 0.807
Sb2 Sb 0.346 0.807 0.500
Sb3 Sb 0.750 0.000 0.000
Sb4 Sb 0.250 0.000 0.000
Sb5 Sb 0.654 0.193 0.500
Sb6 Sb 0.154 0.500 0.193
Pu1 Pu 0.777 0.309 0.138
Pu2 Pu 0.585 0.691 0.138
Pu3 Pu 0.085 0.138 0.691
Pu4 Pu 0.723 0.862 0.691
Pu5 Pu 0.277 0.138 0.309
Pu6 Pu 0.415 0.309 0.862
Pu7 Pu 0.223 0.691 0.862
Pu8 Pu 0.915 0.862 0.309
Mg1 Mg 0.750 0.500 0.500
Mg2 Mg 0.250 0.500 0.500
```

Computed, not measured: a geometry-optimized RbPa3Au4O12 structure at the PBE level of DFT.

Results
Formation energy (no corrections) = -1.844 eV/atom
Magnetization = 2.7 Bohr magnetons per cell
Crystal system = trigonal

```
data_RbPa3Au4O12
_symmetry_space_group_name_H-M 'P 1'
_symmetry_Int_Tables_number 1
_cell_length_a 7.797
_cell_length_b 7.797
_cell_length_c 7.797
_cell_angle_alpha 107.56
_cell_angle_beta 107.56
_cell_angle_gamma 107.56
loop_
_symmetry_equiv_pos_as_xyz
'x,y,z'
loop_
_atom_site_label
_atom_site_type_symbol
_atom_site_fract_x
_atom_site_fract_y
_atom_site_fract_z
Au1 Au 0.500 0.856 0.144
Au2 Au 0.144 0.500 0.856
Au3 Au 0.856 0.144 0.500
Au4 Au 0.500 0.500 0.500
Pa1 Pa 0.000 0.568 0.432
Pa2 Pa 0.432 0.000 0.568
Pa3 Pa 0.568 0.432 0.000
O1 O 0.645 0.728 0.022
O2 O 0.333 0.667 0.500
O3 O 0.272 0.355 0.978
O4 O 0.500 0.333 0.667
O5 O 0.355 0.978 0.272
O6 O 0.978 0.272 0.355
O7 O 0.728 0.022 0.645
O8 O 0.877 0.500 0.123
O9 O 0.667 0.500 0.333
O10 O 0.123 0.877 0.500
O11 O 0.500 0.123 0.877
O12 O 0.022 0.645 0.728
Rb1 Rb 0.000 0.000 0.000
```

Computed, not measured: a geometry-optimized PmZrPa2 structure at the PBE level of DFT.

Results
Energy relative to the lowest polymorph listed for this composition = 0 meV/atom
E_form = 0.22 eV/atom
Magnetization = 0.0 Bohr magnetons per cell
Crystal system = tetragonal

```
data_PmZrPa2
_symmetry_space_group_name_H-M 'P 1'
_symmetry_Int_Tables_number 1
_cell_length_a 3.174
_cell_length_b 3.174
_cell_length_c 10.411
_cell_angle_alpha 90.00
_cell_angle_beta 90.00
_cell_angle_gamma 90.00
loop_
_symmetry_equiv_pos_as_xyz
'x,y,z'
loop_
_atom_site_label
_atom_site_type_symbol
_atom_site_fract_x
_atom_site_fract_y
_atom_site_fract_z
Zr1 Zr 0.500 0.500 0.000
Pa1 Pa 0.000 0.000 0.765
Pa2 Pa 0.000 0.000 0.235
Pm1 Pm 0.500 0.500 0.500
```

Computed, not measured: a geometry-optimized ZnFe2PRh structure at the PBE level of DFT.

Results
E_form = 0.45 eV/atom
Magnetization = 4.7 Bohr magnetons per cell
Crystal system = tetragonal

```
data_ZnFe2PRh
_symmetry_space_group_name_H-M 'P 1'
_symmetry_Int_Tables_number 1
_cell_length_a 4.132
_cell_length_b 4.434
_cell_length_c 4.132
_cell_angle_alpha 90.00
_cell_angle_beta 90.00
_cell_angle_gamma 90.00
loop_
_symmetry_equiv_pos_as_xyz
'x,y,z'
loop_
_atom_site_label
_atom_site_type_symbol
_atom_site_fract_x
_atom_site_fract_y
_atom_site_fract_z
Fe1 Fe 0.000 0.000 0.500
Fe2 Fe 0.500 0.000 0.000
Zn1 Zn 0.000 0.500 0.000
Rh1 Rh 0.500 0.500 0.500
P1 P 0.000 0.000 0.000
```

Computed, not measured: a geometry-optimized Tb3Sm4Er4 structure at the PBE level of DFT.

Results
Energy relative to the lowest polymorph listed for this composition = 0 meV/atom
E_form = 0.02 eV/atom
Magnetization = 0.0 Bohr magnetons per cell
Crystal system = monoclinic

```
data_Tb3Sm4Er4
_symmetry_space_group_name_H-M 'P 1'
_symmetry_Int_Tables_number 1
_cell_length_a 3.567
_cell_length_b 5.030
_cell_length_c 19.857
_cell_angle_alpha 97.26
_cell_angle_beta 95.16
_cell_angle_gamma 90.01
loop_
_symmetry_equiv_pos_as_xyz
'x,y,z'
loop_
_atom_site_label
_atom_site_type_symbol
_atom_site_fract_x
_atom_site_fract_y
_atom_site_fract_z
Er1 Er 0.092 0.091 0.183
Er2 Er 0.908 0.909 0.817
Er3 Er 0.727 0.728 0.455
Er4 Er 0.272 0.272 0.545
Sm1 Sm 0.818 0.818 0.635
Sm2 Sm 0.454 0.455 0.908
Sm3 Sm 0.182 0.182 0.365
Sm4 Sm 0.546 0.545 0.092
Tb1 Tb 0.000 0.000 0.000
Tb2 Tb 0.636 0.636 0.273
Tb3 Tb 0.364 0.364 0.727
```

Computed, not measured: a geometry-optimized Tm2Mg2Pb3 structure at the PBE level of DFT.

Results
Energy relative to the lowest polymorph listed for this composition = 0 meV/atom
E_form = -0.18 eV/atom
Magnetization = 0.0 Bohr magnetons per cell
Crystal system = orthorhombic

```
data_Tm2Mg2Pb3
_symmetry_space_group_name_H-M 'P 1'
_symmetry_Int_Tables_number 1
_cell_length_a 3.462
_cell_length_b 3.507
_cell_length_c 15.836
_cell_angle_alpha 90.00
_cell_angle_beta 83.72
_cell_angle_gamma 90.00
loop_
_symmetry_equiv_pos_as_xyz
'x,y,z'
loop_
_atom_site_label
_atom_site_type_symbol
_atom_site_fract_x
_atom_site_fract_y
_atom_site_fract_z
Pb1 Pb 0.000 0.000 0.000
Pb2 Pb 0.143 0.000 0.714
Pb3 Pb 0.857 0.000 0.286
Mg1 Mg 0.290 0.500 0.419
Mg2 Mg 0.710 0.500 0.581
Tm1 Tm 0.571 0.500 0.859
Tm2 Tm 0.429 0.500 0.141
```

Respective raw total energy values: -9.41 -6.95 -7.85 -5.75 -4.62 -3.50 eV/atom.